BaYMn2O6, relaxed, DFT PBE with a Hubbard U; space-group type = No. 12; E = -7.572 eV/atom
1.0
2.180 -1.162 4.999
5.180 0.430 -2.017
0.105 7.639 1.778
O Ba Mn Y
12 2 4 2
Direct
0.267 0.733 0.000
0.805 0.195 0.500
0.733 0.267 0.000
0.459 0.459 0.697
0.035 0.035 0.756
0.541 0.541 0.303
0.965 0.965 0.244
0.469 0.037 0.287
0.037 0.469 0.287
0.195 0.805 0.500
0.531 0.963 0.713
0.963 0.531 0.713
0.753 0.753 0.993
0.247 0.247 0.007
0.746 0.250 0.742
0.750 0.254 0.258
0.254 0.750 0.258
0.250 0.746 0.742
0.229 0.229 0.509
0.771 0.771 0.491